Below is an optimized crystal structure of Pr12ZnAg6, with properties calculated at the PBE-GGA level.

Cell lengths 8.1825, 8.1825, 8.1825 Å; angles 88.56, 88.56, 88.56 degrees
Element x y z (fractional)
Pr: 0.8063 0.5391 0.4478
Pr: 0.4478 0.8063 0.5391
Pr: 0.5391 0.4478 0.8063
Pr: 0.1937 0.4609 0.5522
Pr: 0.5522 0.1937 0.4609
Pr: 0.4609 0.5522 0.1937
Pr: 0.0091 0.1412 0.3603
Pr: 0.8588 0.6397 0.9909
Pr: 0.6397 0.9909 0.8588
Pr: 0.9909 0.8588 0.6397
Pr: 0.1412 0.3603 0.0091
Pr: 0.3603 0.0091 0.1412
Zn: 0.0000 0.0000 0.0000
Ag: 0.7356 0.8924 0.2584
Ag: 0.7416 0.2644 0.1076
Ag: 0.1076 0.7416 0.2644
Ag: 0.2644 0.1076 0.7416
Ag: 0.2584 0.7356 0.8924
Ag: 0.8924 0.2584 0.7356

Calculated values
Final energy in eV/atom: -4.04
Density in g/cm3: 7.29
Space group: R-3, No. 148
E_form in eV/atom: -0.058
Size of the total moment in μB/atom: 0.0001

***

Below is an optimized crystal structure of ZrHgPb3, with properties calculated at the PBE-GGA level.

Cell lengths 5.7011, 5.7011, 5.7011 Å; angles 90.00, 90.00, 90.00 degrees
Element x y z (fractional)
Pb: 0.0000 0.5000 0.0000
Pb: 0.0000 0.0000 0.5000
Pb: 0.5000 0.0000 0.0000
Hg: 0.5000 0.5000 0.5000
Zr: 0.0000 0.0000 0.0000

Calculated values
Final energy in eV/atom: -3.71
Density in g/cm3: 8.19
Space group: Pm-3m, No. 221
Energy above the lowest structure with this stoichiometry in eV per formula unit: 0.00
E_form in eV/atom: 0.289
Size of the total moment in μB/atom: 0.0000

***

Below is an optimized crystal structure of LaY3Sb3, with properties calculated at the PBE-GGA level.

Cell lengths 9.3426, 9.3426, 9.3426 Å; angles 90.00, 90.00, 90.00 degrees
Element x y z (fractional)
La: 0.0692 0.5692 0.9308
La: 0.9308 0.0692 0.5692
La: 0.4308 0.4308 0.4308
La: 0.5692 0.9308 0.0692
Y: 0.8192 0.3192 0.1808
Y: 0.9228 0.9228 0.9228
Y: 0.8203 0.6797 0.3203
Y: 0.1808 0.8192 0.3192
Y: 0.1797 0.1797 0.1797
Y: 0.3203 0.8203 0.6797
Y: 0.0772 0.4228 0.5772
Y: 0.3192 0.1808 0.8192
Y: 0.6797 0.3203 0.8203
Y: 0.6808 0.6808 0.6808
Y: 0.5772 0.0772 0.4228
Y: 0.4228 0.5772 0.0772
Sb: 0.7411 0.6189 0.0013
Sb: 0.8811 0.9987 0.2411
Sb: 0.0013 0.7411 0.6189
Sb: 0.1189 0.4987 0.2589
Sb: 0.2589 0.1189 0.4987
Sb: 0.2411 0.8811 0.9987
Sb: 0.9987 0.2411 0.8811
Sb: 0.3811 0.5013 0.7589
Sb: 0.4987 0.2589 0.1189
Sb: 0.6189 0.0013 0.7411
Sb: 0.7589 0.3811 0.5013
Sb: 0.5013 0.7589 0.3811

Calculated values
Final energy in eV/atom: -6.28
Density in g/cm3: 6.28
Formation energy from raw total energies in eV/atom: -1.04
Space group: P2_13, No. 198
Energy above the lowest structure with this stoichiometry in eV per formula unit: 0.00
Size of the total moment in μB/atom: 0.0001

***

Below is an optimized crystal structure of Rb4La3ErTe8, with properties calculated at the PBE-GGA level.

Cell lengths 9.3657, 10.1155, 9.3662 Å; angles 117.61, 120.00, 90.00 degrees
Element x y z (fractional)
Rb: 0.5000 0.0000 0.0000
Rb: 0.5000 0.0000 0.5000
Rb: 0.0000 0.0000 0.0000
Rb: 0.0000 0.0000 0.5000
La: 0.5000 0.5000 0.0000
La: 0.5000 0.5000 0.5000
La: 0.0000 0.5000 0.5000
Er: 0.0000 0.5000 0.0000
Te: 0.2283 0.7026 0.9745
Te: 0.2284 0.7026 0.4568
Te: 0.2638 0.2918 0.5277
Te: 0.7461 0.7026 0.9745
Te: 0.2539 0.2974 0.0255
Te: 0.7362 0.7082 0.4723
Te: 0.7716 0.2974 0.5432
Te: 0.7717 0.2974 0.0255

Calculated values
Final energy in eV/atom: -4.48
Density in g/cm3: 4.98
Formation energy from raw total energies in eV/atom: -1.46
Space group: R-3m, No. 166
Size of the total moment in μB/atom: 0.0000

***

Below is an optimized crystal structure of NbTeI2F, with properties calculated at the PBE-GGA level.

Cell lengths 5.5024, 5.5024, 5.3450 Å; angles 90.00, 90.00, 90.00 degrees
Element x y z (fractional)
I: 0.0000 0.5000 0.0000
I: 0.5000 0.0000 0.0000
Nb: 0.0000 0.0000 0.0000
Te: 0.0000 0.0000 0.5000
F: 0.5000 0.5000 0.5000

Calculated values
Final energy in eV/atom: -3.80
Density in g/cm3: 5.06
Formation energy from raw total energies in eV/atom: -0.16
Space group: P4/mmm, No. 123
Energy above the lowest structure with this stoichiometry in eV per formula unit: 0.00
Size of the total moment in μB/atom: 0.0041

***

Below is an optimized crystal structure of SmMgCd, with properties calculated at the PBE-GGA level.

Cell lengths 3.4117, 5.1147, 5.1147 Å; angles 120.00, 90.00, 90.00 degrees
Element x y z (fractional)
Mg: 0.1678 0.0000 0.0000
Sm: 0.6665 0.6667 0.3333
Cd: 0.1656 0.3333 0.6667

Calculated values
Final energy in eV/atom: -2.64
Density in g/cm3: 6.17
Space group: P3m1, No. 156
E_form in eV/atom: -0.235
Size of the total moment in μB/atom: 0.0000

***

Below is an optimized crystal structure of Ca3PSe, with properties calculated at the PBE-GGA level.

Cell lengths 7.1638, 9.3752, 9.3752 Å; angles 80.51, 82.41, 82.41 degrees
Element x y z (fractional)
Ca: 0.5559 0.1829 0.0300
Ca: 0.0559 0.0300 0.1829
Ca: 0.9441 0.9700 0.8171
Ca: 0.4441 0.8171 0.9700
Ca: 0.9611 0.3232 0.4621
Ca: 0.4611 0.4621 0.3232
Ca: 0.5389 0.5379 0.6768
Ca: 0.0389 0.6768 0.5379
Ca: 0.9600 0.6389 0.1439
Ca: 0.4600 0.1439 0.6389
Ca: 0.5400 0.8561 0.3611
Ca: 0.0400 0.3611 0.8561
P: 0.2500 0.7351 0.2649
P: 0.2500 0.0934 0.9066
P: 0.7500 0.2649 0.7351
P: 0.7500 0.9066 0.0934
Se: 0.8217 0.3458 0.1599
Se: 0.3217 0.1599 0.3458
Se: 0.6783 0.8401 0.6542
Se: 0.1783 0.6542 0.8401

Calculated values
Final energy in eV/atom: -4.25
Density in g/cm3: 2.50
Formation energy from raw total energies in eV/atom: -1.27
Space group: C2/c, No. 15
Energy above the lowest structure with this stoichiometry in eV per formula unit: 0.00
Size of the total moment in μB/atom: 0.0000

***

Below is an optimized crystal structure of Zn2GaPd5, with properties calculated at the PBE-GGA level.

Cell lengths 4.1156, 5.4617, 10.5329 Å; angles 90.00, 90.00, 90.00 degrees
Element x y z (fractional)
Zn: 0.5000 0.3399 0.3596
Zn: 0.5000 0.6601 0.6404
Zn: 0.5000 0.1601 0.8596
Zn: 0.5000 0.8399 0.1404
Ga: 0.0000 0.0000 0.5000
Ga: 0.0000 0.5000 0.0000
Pd: 0.5000 0.3185 0.1074
Pd: 0.5000 0.6815 0.8926
Pd: 0.5000 0.8185 0.3926
Pd: 0.5000 0.1815 0.6074
Pd: 0.0000 0.9031 0.7361
Pd: 0.0000 0.0969 0.2639
Pd: 0.0000 0.4031 0.7639
Pd: 0.0000 0.5969 0.2361
Pd: 0.0000 0.5000 0.5000
Pd: 0.0000 0.0000 0.0000

Calculated values
Final energy in eV/atom: -4.50
Density in g/cm3: 10.28
Space group: Pbam, No. 55
E_form in eV/atom: -0.561
Size of the total moment in μB/atom: 0.0000

***

Below is an optimized crystal structure of CdCuF2, with properties calculated at the PBE-GGA level.

Cell lengths 4.2093, 4.2093, 4.2093 Å; angles 60.00, 60.00, 60.00 degrees
Element x y z (fractional)
F: 0.2500 0.2500 0.2500
F: 0.7500 0.7500 0.7500
Cu: 0.0000 0.0000 0.0000
Cd: 0.5000 0.5000 0.5000

Calculated values
Final energy in eV/atom: -3.20
Density in g/cm3: 6.74
Formation energy from raw total energies in eV/atom: -1.01
Space group: Fm-3m, No. 225
Energy above the lowest structure with this stoichiometry in eV per formula unit: 0.78
Size of the total moment in μB/atom: 0.0000

***

Below is an optimized crystal structure of Ba3Cd2Ga2Au4, with properties calculated at the PBE-GGA level.

Cell lengths 4.7076, 4.7076, 16.9054 Å; angles 90.00, 90.00, 120.00 degrees
Element x y z (fractional)
Ba: 0.0000 0.0000 0.7275
Ba: 0.0000 0.0000 0.0000
Ba: 0.0000 0.0000 0.2725
Cd: 0.6667 0.3333 0.4400
Cd: 0.3333 0.6667 0.5600
Ga: 0.6667 0.3333 0.8645
Ga: 0.3333 0.6667 0.1355
Au: 0.6667 0.3333 0.1358
Au: 0.3333 0.6667 0.8642
Au: 0.6667 0.3333 0.6109
Au: 0.3333 0.6667 0.3891

Calculated values
Final energy in eV/atom: -2.95
Density in g/cm3: 8.00
Space group: P-3m1, No. 164
E_form in eV/atom: -0.512
Size of the total moment in μB/atom: 0.0000

***

Below is an optimized crystal structure of BPdSCl2, with properties calculated at the PBE-GGA level.

Cell lengths 4.1192, 4.1192, 4.7635 Å; angles 90.00, 90.00, 90.00 degrees
Element x y z (fractional)
S: 0.0000 0.0000 0.5000
B: 0.0000 0.0000 0.0000
Pd: 0.5000 0.5000 0.5000
Cl: 0.0000 0.5000 0.0000
Cl: 0.5000 0.0000 0.0000

Calculated values
Final energy in eV/atom: -3.29
Density in g/cm3: 4.52
Formation energy from raw total energies in eV/atom: 0.65
Space group: P4/mmm, No. 123
Energy above the lowest structure with this stoichiometry in eV per formula unit: 0.00
Size of the total moment in μB/atom: 0.0000